P) ## K2ReTc (PBE-GGA)

Data for a relaxed K2ReTc crystal.

Cell: 6.5731 6.5731 2.5782 Å, 90.00 90.00 90.00°
Space group P4/mmm (No. 123)
Unique sites:
K 0.0000 0.5000 0.0000 (multiplicity 2)
Re 0.0000 0.0000 0.5000 (multiplicity 1)
Tc 0.5000 0.5000 0.5000 (multiplicity 1)

Q) ## K2ReTc (PBE-GGA)

Data for a relaxed K2ReTc crystal.

Cell: 5.3497 11.8612 2.6805 Å, 90.00 105.04 90.00°
Space group C2/m (No. 12)
Unique sites:
K 0.2500 0.2500 0.0000 (multiplicity 4)
Re 0.0000 0.0000 0.5000 (multiplicity 2)
Tc 0.0000 0.5000 0.5000 (multiplicity 2)

R) ## K2ReTc (PBE-GGA)

Data for a relaxed K2ReTc crystal.

Cell: 3.5827 6.1001 11.3323 Å, 90.00 90.00 90.00°
Space group Imm2 (No. 44)
Unique sites:
K 0.0000 0.0000 0.0000 (multiplicity 2)
K 0.0000 0.5000 0.2121 (multiplicity 2)
Re 0.0000 0.5000 0.7933 (multiplicity 2)
Tc 0.0000 0.0000 0.4182 (multiplicity 2)

S) ## K2ReTc (PBE-GGA)

Data for a relaxed K2ReTc crystal.

Cell: 3.2214 3.2347 10.8519 Å, 90.00 90.00 90.00°
Space group Pmm2 (No. 25)
Unique sites:
K 0.0000 0.0000 0.0000 (multiplicity 1)
K 0.5000 0.5000 0.4020 (multiplicity 1)
Re 0.5000 0.5000 0.7525 (multiplicity 1)
Tc 0.0000 0.0000 0.6504 (multiplicity 1)

Structures ranked by computed energy, the most stable listed first: S), R), Q), P).